1.
Compound: Li2LaDy2Ga2
Source: the Alexandria database
Functional: PBE
Structure: optimized geometry

As for the total energy: -3.725 eV/atom. For the energy of formation, the calculation gives -0.295 eV per atom. The magnetic moment comes out at 0.00 μB per formula unit. Its mass density is 6.06 g/cm3.

The structure belongs to space group R-3m (No. 166, hexagonal axes); the cell edges are 4.6941, 4.6941 and 26.5983 Å and the angles 90.00°, 90.00° and 120.00°. The asymmetric unit holds Li at (0.0000, 0.0000, 0.0914), La at (0.0000, 0.0000, 0.5000), Dy at (0.0000, 0.0000, 0.3715) and Ga at (0.0000, 0.0000, 0.2450).


2.
Compound: Pa2SbSe
Source: the Alexandria database
Functional: PBE
Structure: optimized geometry

The formation energy from raw total energies is -0.693 eV/atom. As for the total energy: -7.343 eV/atom. The magnetic moment comes out at 1.92 μB per formula unit. Its mass density is 11.43 g/cm3.

The structure belongs to space group P4/mmm (No. 123); the cell edges are 3.6247, 3.6247 and 7.3277 Å and the angles 90.00°, 90.00° and 90.00°. The asymmetric unit holds Pa at (0.0000, 0.0000, 0.2427), Sb at (0.5000, 0.5000, 0.5000) and Se at (0.5000, 0.5000, 0.0000).


3.
Compound: ZnTc3N
Source: the Alexandria database
Functional: PBE
Structure: optimized geometry

The formation energy from raw total energies is 1.334 eV/atom. As for the total energy: -6.805 eV/atom. The magnetic moment comes out at 0.00 μB per formula unit. Its mass density is 5.15 g/cm3.

The structure belongs to space group Cmcm (No. 63); the cell edges are 5.2842, 21.4542 and 4.2466 Å and the angles 90.00°, 90.00° and 90.00°. The asymmetric unit holds Zn at (0.0000, 0.1135, 0.2500), Tc at (0.0000, 0.0000, 0.0000), Tc at (0.2398, 0.2794, 0.7500) and N at (0.0000, 0.2879, 0.2500).


4.
Compound: PaBiSe
Source: the Alexandria database
Functional: PBE
Structure: optimized geometry

The formation energy from raw total energies is -0.618 eV/atom. As for the total energy: -6.238 eV/atom. The magnetic moment comes out at 0.00 μB per formula unit. Its mass density is 10.33 g/cm3.

The structure belongs to space group P-6m2 (No. 187); the cell edges are 4.8033, 4.8033 and 4.1760 Å and the angles 90.00°, 90.00° and 120.00°. The asymmetric unit holds Pa at (0.0000, 0.0000, 0.0000), Bi at (0.6667, 0.3333, 0.5000) and Se at (0.3333, 0.6667, 0.0000).


5.
Compound: Rb3As4H2
Source: the Alexandria database
Functional: PBE
Structure: optimized geometry

As for the total energy: -3.396 eV/atom. The magnetic moment comes out at 0.00 μB per formula unit. Its mass density is 3.52 g/cm3.

The structure belongs to space group P-1 (No. 2); the cell edges are 4.7594, 6.6856 and 9.0697 Å and the angles 104.34°, 91.50° and 108.63°. The asymmetric unit holds Rb at (0.0000, 0.0000, 0.0000), Rb at (0.3882, 0.7768, 0.6137), As at (0.1599, 0.2637, 0.7004), As at (0.2957, 0.5531, 0.9501) and H at (0.1803, 0.7701, 0.2949).


6.
Compound: TiTeRhO6
Source: the Alexandria database
Functional: PBE
Structure: optimized geometry

The formation energy from raw total energies is -1.408 eV/atom. As for the total energy: -6.757 eV/atom. The magnetic moment comes out at 0.00 μB per formula unit. Its mass density is 6.04 g/cm3.

The structure belongs to space group P-31c (No. 163); the cell edges are 5.2198, 5.2198 and 8.7231 Å and the angles 90.00°, 90.00° and 120.00°. The asymmetric unit holds Ti at (0.3333, 0.6667, 0.2500), Te at (0.3333, 0.6667, 0.7500), Rh at (0.0000, 0.0000, 0.0000) and O at (0.0117, 0.3462, 0.1278).


7.
Compound: SiTc2W
Source: the Alexandria database
Functional: PBE
Structure: optimized geometry

The formation energy from raw total energies is 0.011 eV/atom. As for the total energy: -9.766 eV/atom. The magnetic moment comes out at 0.00 μB per formula unit. Its mass density is 11.67 g/cm3.

The structure belongs to space group Pmmm (No. 47); the cell edges are 3.0434, 4.1470 and 4.5982 Å and the angles 90.00°, 90.00° and 90.00°. The asymmetric unit holds Si at (0.0000, 0.0000, 0.0000), Tc at (0.0000, 0.5000, 0.5000), Tc at (0.5000, 0.5000, 0.0000) and W at (0.5000, 0.0000, 0.5000).


8.
Compound: PaB2O6
Source: the Alexandria database
Functional: PBE
Structure: optimized geometry

The formation energy from raw total energies is -2.477 eV/atom. As for the total energy: -8.321 eV/atom. The magnetic moment comes out at 1.01 μB per formula unit. Its mass density is 5.50 g/cm3.

The structure belongs to space group C2/c (No. 15); the cell edges are 9.7633, 9.2496 and 4.8831 Å and the angles 90.00°, 107.20° and 90.00°. The asymmetric unit holds Pa at (0.0000, 0.1469, 0.2500), B at (0.2089, 0.4344, 0.2309), O at (0.1275, 0.0607, 0.6670), O at (0.1526, 0.4954, 0.4552) and O at (0.1576, 0.2840, 0.1950).